(w)
Entry from Alexandria via LeMat-Bulk: an optimized crystal structure of YAgSe2N (PBE).

It has space group P4/mmm (No. 123), with a = 5.526 Å, b = 5.526 Å, c = 4.364 Å, α = 90.00°, β = 90.00° and γ = 90.00°. Symmetry generates all atoms from Y at (0.000, 0.000, 0.000), Ag at (0.500, 0.500, 0.500), Se at (0.000, 0.500, 0.000) and N at (0.000, 0.000, 0.500).



(x)
Entry from Alexandria via LeMat-Bulk: an optimized crystal structure of YAgSe2N (PBE).

It has space group P4/mmm (No. 123), with a = 5.182 Å, b = 5.182 Å, c = 4.031 Å, α = 90.00°, β = 90.00° and γ = 90.00°. Symmetry generates all atoms from Y at (0.000, 0.000, 0.000), Ag at (0.500, 0.500, 0.500), Se at (0.000, 0.500, 0.500) and N at (0.500, 0.500, 0.000).



Short version: (w) is the least stable of them.



(w)
Entry from Alexandria via LeMat-Bulk: an optimized crystal structure of ZnAgSe2N (PBE).

It has space group P4/mmm (No. 123), with a = 5.222 Å, b = 5.222 Å, c = 3.987 Å, α = 90.00°, β = 90.00° and γ = 90.00°. Symmetry generates all atoms from Zn at (0.000, 0.000, 0.000), Ag at (0.500, 0.500, 0.500), Se at (0.000, 0.500, 0.500) and N at (0.500, 0.500, 0.000).



(x)
Entry from Alexandria via LeMat-Bulk: an optimized crystal structure of ZnAgSe2N (PBE).

It has space group P4/mmm (No. 123), with a = 5.222 Å, b = 5.222 Å, c = 3.695 Å, α = 90.00°, β = 90.00° and γ = 90.00°. Symmetry generates all atoms from Zn at (0.000, 0.000, 0.000), Ag at (0.500, 0.500, 0.500), Se at (0.000, 0.500, 0.000) and N at (0.000, 0.000, 0.500).



Short version: (w) is the least stable of them.



(w)
Entry from Alexandria via LeMat-Bulk: an optimized crystal structure of ZrAgSe2N (PBE).

It has space group P4/mmm (No. 123), with a = 5.318 Å, b = 5.318 Å, c = 4.178 Å, α = 90.00°, β = 90.00° and γ = 90.00°. Symmetry generates all atoms from Zr at (0.000, 0.000, 0.000), Ag at (0.500, 0.500, 0.500), Se at (0.000, 0.500, 0.000) and N at (0.000, 0.000, 0.500).



(x)
Entry from Alexandria via LeMat-Bulk: an optimized crystal structure of ZrAgSe2N (PBE).

It has space group P4/mmm (No. 123), with a = 5.051 Å, b = 5.051 Å, c = 3.935 Å, α = 90.00°, β = 90.00° and γ = 90.00°. Symmetry generates all atoms from Zr at (0.000, 0.000, 0.000), Ag at (0.500, 0.500, 0.500), Se at (0.000, 0.500, 0.500) and N at (0.500, 0.500, 0.000).



Short version: (x) is the least stable of them.



(w)
Entry from Alexandria via LeMat-Bulk: an optimized crystal structure of SiAg2N2 (PBE).

It has space group P4/mbm (No. 127), with a = 5.175 Å, b = 5.175 Å, c = 4.862 Å, α = 90.00°, β = 90.00° and γ = 90.00°. Symmetry generates all atoms from Si at (0.000, 0.000, 0.000), Ag at (0.191, 0.309, 0.500) and N at (0.247, 0.253, 0.000).



(x)
Entry from Alexandria via LeMat-Bulk: an optimized crystal structure of SiAg2N2 (PBE).

It has space group I4/mmm (No. 139), with a = 4.771 Å, b = 4.771 Å, c = 7.847 Å, α = 90.00°, β = 90.00° and γ = 90.00°. Symmetry generates all atoms from Si at (0.000, 0.000, 0.000), Ag at (0.000, 0.500, 0.250) and N at (0.000, 0.000, 0.210).



Short version: (x) is the least stable of them.



(w)
Entry from Alexandria via LeMat-Bulk: an optimized crystal structure of Si3AgN (PBE).

It has space group Pm-3m (No. 221), with a = 4.120 Å, b = 4.120 Å, c = 4.120 Å, α = 90.00°, β = 90.00° and γ = 90.00°. Symmetry generates all atoms from Si at (0.000, 0.000, 0.500), Ag at (0.500, 0.500, 0.500) and N at (0.000, 0.000, 0.000).



(x)
Entry from Alexandria via LeMat-Bulk: an optimized crystal structure of Si3AgN (PBE).

It has space group Pm-3m (No. 221), with a = 4.781 Å, b = 4.781 Å, c = 4.781 Å, α = 90.00°, β = 90.00° and γ = 90.00°. Symmetry generates all atoms from Si at (0.000, 0.000, 0.500), Ag at (0.000, 0.000, 0.000) and N at (0.500, 0.500, 0.500).



Short version: (x) is the least stable of them.



(w)
Entry from Alexandria via LeMat-Bulk: an optimized crystal structure of SiAgN2 (PBE).

It has space group R-3m (No. 166, hexagonal axes), with a = 2.8527 Å, b = 2.8527 Å, c = 18.2565 Å, α = 90.00°, β = 90.00° and γ = 120.00°. Symmetry generates all atoms from Si at (0.0000, 0.0000, 0.0000), Ag at (0.0000, 0.0000, 0.5000) and N at (0.0000, 0.0000, 0.3862).



(x)
Entry from Alexandria via LeMat-Bulk: an optimized crystal structure of SiAgN2 (PBE).

It has space group I-42d (No. 122), with a = 4.846 Å, b = 4.846 Å, c = 8.111 Å, α = 90.00°, β = 90.00° and γ = 90.00°. Symmetry generates all atoms from Si at (0.000, 0.000, 0.000), Ag at (0.000, 0.000, 0.500) and N at (0.154, 0.250, 0.125).



Short version: (w) is the least stable of them.